<w>
Computed, not measured: an optimized crystal structure of Sr3LaF at the GGA-PBE level of DFT.

## Properties
Spin magnetization   0.25 μB/atom

abc: 5.6825 5.6825 5.6825
angles: 90.00 90.00 90.00
Closest atoms and distances in Å follow each position.
Sites, in units of the cell vectors:
Sr  0.0000  0.0000  0.5000  2 F 2.84
Sr  0.0000  0.5000  0.0000  2 F 2.84
Sr  0.5000  0.0000  0.0000  2 F 2.84
La  0.5000  0.5000  0.5000  12 Sr 4.02
F  0.0000  0.0000  0.0000  6 Sr 2.84


<x>
Computed, not measured: an optimized crystal structure of Sr3LaF at the GGA-PBE level of DFT.

## Properties
Spin magnetization   0.82 μB/atom

abc: 6.8156 6.8156 6.8156
angles: 90.00 90.00 90.00
Closest atoms and distances in Å follow each position.
Sites, in units of the cell vectors:
Sr  0.0000  0.0000  0.5000  2 La 3.41
Sr  0.0000  0.5000  0.0000  2 La 3.41
Sr  0.5000  0.0000  0.0000  2 La 3.41
La  0.0000  0.0000  0.0000  6 Sr 3.41
F  0.5000  0.5000  0.5000  12 Sr 4.82


<w> comes first in stability; the runner-up is 1276 meV per atom higher.


<w>
Computed, not measured: an optimized crystal structure of SrLaF3 at the GGA-PBE level of DFT.

## Properties
Spin magnetization   0.36 μB/atom

abc: 4.7675 4.7675 4.7675
angles: 90.00 90.00 90.00
Closest atoms and distances in Å follow each position.
Sites, in units of the cell vectors:
Sr  0.0000  0.0000  0.0000  6 F 2.38
La  0.5000  0.5000  0.5000  12 F 3.37
F  0.0000  0.0000  0.5000  2 Sr 2.38
F  0.0000  0.5000  0.0000  2 Sr 2.38
F  0.5000  0.0000  0.0000  2 Sr 2.38


<x>
Computed, not measured: an optimized crystal structure of SrLaF3 at the GGA-PBE level of DFT.

## Properties
Spin magnetization   0.00 μB/atom

abc: 4.9255 4.9255 4.9255
angles: 90.00 90.00 90.00
Closest atoms and distances in Å follow each position.
Sites, in units of the cell vectors:
Sr  0.0000  0.0000  0.0000  12 F 3.48
La  0.5000  0.5000  0.5000  6 F 2.46
F  0.0000  0.5000  0.5000  2 La 2.46
F  0.5000  0.0000  0.5000  2 La 2.46
F  0.5000  0.5000  0.0000  2 La 2.46


<x> comes first in stability; the runner-up is 147 meV per atom higher.


<w>
Computed, not measured: an optimized crystal structure of LaTa2F at the GGA-PBE level of DFT.

## Properties
Spin magnetization   0.00 μB/atom

abc: 7.0208 7.0208 7.0208
angles: 131.16 131.16 71.56
Closest atoms and distances in Å follow each position.
Sites, in units of the cell vectors:
La  0.3750  0.6250  0.7500  8 Ta 3.54
La  0.6250  0.3750  0.2500  8 Ta 3.54
Ta  0.0000  0.0000  0.0000  2 F 2.03
Ta  0.0000  0.0000  0.5000  2 F 2.03
Ta  0.0000  0.5000  0.0000  2 F 2.03
Ta  0.5000  0.0000  0.5000  2 F 2.03
F  0.1250  0.8750  0.2500  4 Ta 2.03
F  0.8750  0.1250  0.7500  4 Ta 2.03


<x>
Computed, not measured: an optimized crystal structure of LaTa2F at the GGA-PBE level of DFT.

## Properties
Spin magnetization   0.00 μB/atom

abc: 4.7727 4.7727 4.7727
angles: 60.00 60.00 60.00
Closest atoms and distances in Å follow each position.
Sites, in units of the cell vectors:
La  0.0000  0.0000  0.0000  8 Ta 2.92
Ta  0.2500  0.2500  0.2500  4 La 2.92, 4 F 2.92
Ta  0.7500  0.7500  0.7500  4 La 2.92, 4 F 2.92
F  0.5000  0.5000  0.5000  8 Ta 2.92


<w> comes first in stability; the runner-up is 483 meV per atom higher.


<w>
Computed, not measured: an optimized crystal structure of La2TaF at the GGA-PBE level of DFT.

## Properties
Spin magnetization   0.52 μB/atom

abc: 5.1606 5.1606 5.1606
angles: 60.00 60.00 60.00
Closest atoms and distances in Å follow each position.
Sites, in units of the cell vectors:
La  0.2500  0.2500  0.2500  4 Ta 3.16, 4 F 3.16
La  0.7500  0.7500  0.7500  4 F 3.16, 4 Ta 3.16
Ta  0.0000  0.0000  0.0000  8 La 3.16
F  0.5000  0.5000  0.5000  8 La 3.16


<x>
Computed, not measured: an optimized crystal structure of La2TaF at the GGA-PBE level of DFT.

## Properties
Spin magnetization   0.00 μB/atom

abc: 7.8122 7.8122 7.8122
angles: 136.29 136.29 63.54
Closest atoms and distances in Å follow each position.
Sites, in units of the cell vectors:
La  0.0817  0.6250  0.9567  2 F 2.51, 2 Ta 2.79
La  0.3750  0.3317  0.4567  2 F 2.51, 2 Ta 2.79
La  0.6683  0.1250  0.0433  2 F 2.51, 2 Ta 2.79
La  0.8750  0.9183  0.5433  2 F 2.51, 2 Ta 2.79
Ta  0.2500  0.7500  0.5000  4 La 2.79
Ta  0.5000  0.5000  0.0000  4 La 2.79
F  0.0000  0.0000  0.0000  4 La 2.51
F  0.7500  0.2500  0.5000  4 La 2.51


<x> comes first in stability; the runner-up is 251 meV per atom higher.


<w>
Computed, not measured: an optimized crystal structure of LaTaF3 at the GGA-PBE level of DFT.

## Properties
Spin magnetization   0.00 μB/atom

abc: 4.7459 4.7459 4.7459
angles: 90.00 90.00 90.00
Closest atoms and distances in Å follow each position.
Sites, in units of the cell vectors:
La  0.0000  0.0000  0.0000  6 F 2.37
Ta  0.5000  0.5000  0.5000  12 F 3.36
F  0.0000  0.0000  0.5000  2 La 2.37
F  0.0000  0.5000  0.0000  2 La 2.37
F  0.5000  0.0000  0.0000  2 La 2.37


<x>
Computed, not measured: an optimized crystal structure of LaTaF3 at the GGA-PBE level of DFT.

## Properties
Spin magnetization   0.71 μB/atom

abc: 4.2918 4.2918 4.2918
angles: 90.00 90.00 90.00
Closest atoms and distances in Å follow each position.
Sites, in units of the cell vectors:
La  0.0000  0.0000  0.0000  12 F 3.03
Ta  0.5000  0.5000  0.5000  6 F 2.15
F  0.0000  0.5000  0.5000  2 Ta 2.15
F  0.5000  0.0000  0.5000  2 Ta 2.15
F  0.5000  0.5000  0.0000  2 Ta 2.15


<x> comes first in stability; the runner-up is 30 meV per atom higher.


<w>
Computed, not measured: an optimized crystal structure of La2TcF at the GGA-PBE level of DFT.

## Properties
Spin magnetization   0.00 μB/atom

abc: 4.9433 4.9433 4.9433
angles: 60.00 60.00 60.00
Closest atoms and distances in Å follow each position.
Sites, in units of the cell vectors:
La  0.2500  0.2500  0.2500  4 F 3.03, 4 Tc 3.03
La  0.7500  0.7500  0.7500  4 F 3.03, 4 Tc 3.03
Tc  0.0000  0.0000  0.0000  8 La 3.03
F  0.5000  0.5000  0.5000  8 La 3.03


<x>
Computed, not measured: an optimized crystal structure of La2TcF at the GGA-PBE level of DFT.

## Properties
Spin magnetization   0.00 μB/atom

abc: 7.6707 7.6707 7.6707
angles: 136.40 136.40 63.36
Closest atoms and distances in Å follow each position.
Sites, in units of the cell vectors:
La  0.1235  0.6250  0.9985  2 F 2.59, 2 Tc 2.60
La  0.3750  0.3735  0.4985  2 F 2.59, 2 Tc 2.60
La  0.6265  0.1250  0.0015  2 F 2.59, 2 Tc 2.60
La  0.8750  0.8765  0.5015  2 F 2.59, 2 Tc 2.60
Tc  0.2500  0.7500  0.5000  4 La 2.60
Tc  0.5000  0.5000  0.0000  4 La 2.60
F  0.0000  0.0000  0.0000  4 La 2.59
F  0.7500  0.2500  0.5000  4 La 2.59


<x> comes first in stability; the runner-up is 210 meV per atom higher.


<w>
Computed, not measured: an optimized crystal structure of La2Te2F at the GGA-PBE level of DFT.

## Properties
Spin magnetization   0.00 μB/atom

abc: 6.1043 6.1043 12.1174
angles: 90.00 90.00 140.74
Closest atoms and distances in Å follow each position.
Sites, in units of the cell vectors:
La  0.0471  0.9529  0.5000  2 F 2.68
La  0.2225  0.7775  0.7395  2 F 2.74
La  0.7775  0.2225  0.2395  2 F 2.74
La  0.9529  0.0471  0.0000  2 F 2.68
Te  0.0644  0.9356  0.2416  5 La 3.14-3.30, 2 F 3.46
Te  0.3298  0.6702  0.4502  5 La 3.29-3.33, 2 F 3.61
Te  0.6702  0.3298  0.9502  5 La 3.29-3.33, 2 F 3.61
Te  0.9356  0.0644  0.7416  5 La 3.14-3.30, 2 F 3.46
F  0.3629  0.6371  0.1134  4 La 2.68-2.74
F  0.6371  0.3629  0.6134  4 La 2.68-2.74


<x>
Computed, not measured: an optimized crystal structure of La2Te2F at the GGA-PBE level of DFT.

## Properties
Spin magnetization   0.00 μB/atom

abc: 8.0682 8.0682 4.4833
angles: 90.00 90.00 90.00
Closest atoms and distances in Å follow each position.
Sites, in units of the cell vectors:
La  0.1614  0.3386  0.0000  2 F 3.03, 6 Te 3.12-3.36
La  0.3386  0.8386  0.0000  2 F 3.03, 6 Te 3.12-3.36
La  0.6614  0.1614  0.0000  2 F 3.03, 6 Te 3.12-3.36
La  0.8386  0.6614  0.0000  2 F 3.03, 6 Te 3.12-3.36
Te  0.1479  0.6479  0.5000  6 La 3.12-3.36, 1 Te 3.37
Te  0.3521  0.1479  0.5000  6 La 3.12-3.36, 1 Te 3.37
Te  0.6479  0.8521  0.5000  6 La 3.12-3.36, 1 Te 3.37
Te  0.8521  0.3521  0.5000  6 La 3.12-3.36, 1 Te 3.37
F  0.0000  0.0000  0.0000  4 La 3.03
F  0.5000  0.5000  0.0000  4 La 3.03


<y>
Computed, not measured: an optimized crystal structure of La2Te2F at the GGA-PBE level of DFT.

## Properties
Spin magnetization   0.00 μB/atom

abc: 17.3361 17.3361 17.3361
angles: 165.45 165.45 20.64
Closest atoms and distances in Å follow each position.
Sites, in units of the cell vectors:
La  0.0870  0.3370  0.7500  2 F 2.55
La  0.3370  0.0870  0.2500  2 F 2.55
La  0.6630  0.9130  0.7500  2 F 2.55
La  0.9130  0.6630  0.2500  2 F 2.55
Te  0.1934  0.4434  0.7500  2 F 3.20, 4 La 3.27
Te  0.4434  0.1934  0.2500  2 F 3.20, 4 La 3.27
Te  0.5566  0.8066  0.7500  2 F 3.20, 4 La 3.27
Te  0.8066  0.5566  0.2500  2 F 3.20, 4 La 3.27
F  0.1250  0.8750  0.2500  4 La 2.55
F  0.8750  0.1250  0.7500  4 La 2.55


<w> comes first in stability; the runner-up is 18 meV per atom higher.


<w>
Computed, not measured: an optimized crystal structure of La2TeF at the GGA-PBE level of DFT.

## Properties
Spin magnetization   0.00 μB/atom

abc: 7.5891 7.5891 7.5891
angles: 31.23 31.23 31.23
Closest atoms and distances in Å follow each position.
Sites, in units of the cell vectors:
La  0.2334  0.2334  0.2334  3 F 2.77
La  0.7666  0.7666  0.7666  3 F 2.77
Te  0.0000  0.0000  0.0000  6 La 3.20
F  0.5000  0.5000  0.5000  6 La 2.77


<x>
Computed, not measured: an optimized crystal structure of La2TeF at the GGA-PBE level of DFT.

## Properties
Spin magnetization   0.00 μB/atom

abc: 5.2956 5.2956 5.2956
angles: 60.00 60.00 60.00
Closest atoms and distances in Å follow each position.
Sites, in units of the cell vectors:
La  0.2500  0.2500  0.2500  4 F 3.24, 4 Te 3.24
La  0.7500  0.7500  0.7500  4 F 3.24, 4 Te 3.24
Te  0.0000  0.0000  0.0000  8 La 3.24
F  0.5000  0.5000  0.5000  8 La 3.24


<w> comes first in stability; the runner-up is 294 meV per atom higher.